# 1
Here is a geometry-optimized Ti4Ag2Ir structure from Alexandria via LeMat-Bulk. Energies are from PBE-GGA.

```
data_Ti4Ag2Ir
_cell_length_a 7.423
_cell_length_b 7.423
_cell_length_c 7.423
_cell_angle_alpha 142.82
_cell_angle_beta 142.82
_cell_angle_gamma 53.59
_symmetry_space_group_name_H-M 'P 1'
_symmetry_Int_Tables_number 1
loop_
_symmetry_equiv_pos_as_xyz
'x,y,z'
loop_
_atom_site_label
_atom_site_type_symbol
_atom_site_fract_x
_atom_site_fract_y
_atom_site_fract_z
Ti1 Ti 0.000 0.500 0.500
Ti2 Ti 0.184 0.184 0.000
Ti3 Ti 0.500 0.000 0.500
Ti4 Ti 0.816 0.816 0.000
Ag1 Ag 0.383 0.383 0.000
Ag2 Ag 0.617 0.617 0.000
Ir1 Ir 0.000 0.000 0.000
```

Energy of formation, kcal/mol of atoms: 9.68
VASP energy, eV/atom: -6.1723

# 2
Here is a geometry-optimized Tm12SbRh6 structure from Alexandria via LeMat-Bulk. Energies are from PBE-GGA.

```
data_Tm12SbRh6
_cell_length_a 8.450
_cell_length_b 8.450
_cell_length_c 8.450
_cell_angle_alpha 109.47
_cell_angle_beta 109.47
_cell_angle_gamma 109.47
_symmetry_space_group_name_H-M 'P 1'
_symmetry_Int_Tables_number 1
loop_
_symmetry_equiv_pos_as_xyz
'x,y,z'
loop_
_atom_site_label
_atom_site_type_symbol
_atom_site_fract_x
_atom_site_fract_y
_atom_site_fract_z
Tm1 Tm 0.110 0.809 0.301
Tm2 Tm 0.191 0.301 0.491
Tm3 Tm 0.191 0.699 0.890
Tm4 Tm 0.301 0.110 0.809
Tm5 Tm 0.301 0.491 0.191
Tm6 Tm 0.491 0.191 0.301
Tm7 Tm 0.509 0.809 0.699
Tm8 Tm 0.699 0.509 0.809
Tm9 Tm 0.699 0.890 0.191
Tm10 Tm 0.809 0.301 0.110
Tm11 Tm 0.809 0.699 0.509
Tm12 Tm 0.890 0.191 0.699
Sb1 Sb 0.000 0.000 0.000
Rh1 Rh 0.132 0.632 0.500
Rh2 Rh 0.368 0.500 0.868
Rh3 Rh 0.500 0.132 0.632
Rh4 Rh 0.500 0.868 0.368
Rh5 Rh 0.632 0.500 0.132
Rh6 Rh 0.868 0.368 0.500
```

VASP energy, eV/atom: -6.0563

no.,size of the total moment (μB per formula unit)
1,0.0
2,0.0